# 1
! Ca2AlBr (PBE, relaxed); values from VASP
&SYSTEM
  ibrav = 0, nat = 4, ntyp = 3
/
ATOMIC_SPECIES
Ca 40.08 Ca.upf
Al 26.98 Al.upf
Br 79.90 Br.upf
ATOMIC_POSITIONS crystal
Ca 0.043 0.043 0.000
Ca 0.806 0.306 0.500
Al 0.447 0.447 0.000
Br 0.205 0.705 0.500
CELL_PARAMETERS angstrom
-2.862 8.336 -0.233
-7.016 5.208 1.180
5.658 -6.428 2.100
! Energy relative to the lowest polymorph listed for this composition ... 136.5 meV per atom
! Crystal system ... orthorhombic
! ΔE_f (raw) ... -657.9 meV/atom
! Space-group type ... Imm2

# 2
! CaAlBr2 (PBE, relaxed); values from VASP
&SYSTEM
  ibrav = 0, nat = 4, ntyp = 3
/
ATOMIC_SPECIES
Ca 40.08 Ca.upf
Al 26.98 Al.upf
Br 79.90 Br.upf
ATOMIC_POSITIONS crystal
Ca 0.250 0.250 0.250
Al 0.750 0.750 0.750
Br 0.971 0.971 0.971
Br 0.529 0.529 0.529
CELL_PARAMETERS angstrom
-6.304 -8.449 2.058
-5.886 -8.776 -1.924
-3.075 -10.278 0.521
! Energy relative to the lowest polymorph listed for this composition ... 16.1 meV per atom
! Crystal system ... trigonal
! ΔE_f (raw) ... -954.3 meV/atom
! Space-group type ... R-3m

# 3
! CaAl2Br (PBE, relaxed); values from VASP
&SYSTEM
  ibrav = 0, nat = 4, ntyp = 3
/
ATOMIC_SPECIES
Ca 40.08 Ca.upf
Al 26.98 Al.upf
Br 79.90 Br.upf
ATOMIC_POSITIONS crystal
Ca 0.750 0.250 0.500
Al 0.000 0.000 0.000
Al 0.250 0.750 0.500
Br 0.500 0.500 0.000
CELL_PARAMETERS angstrom
5.313 0.002 0.000
0.911 5.234 0.000
-3.112 -2.618 3.419
! Energy relative to the lowest polymorph listed for this composition ... 305.6 meV per atom
! Crystal system ... tetragonal
! ΔE_f (raw) ... -168.2 meV/atom
! Space-group type ... I-4m2

# 4
! CaAlBr2 (PBE, relaxed); values from VASP
&SYSTEM
  ibrav = 0, nat = 4, ntyp = 3
/
ATOMIC_SPECIES
Ca 40.08 Ca.upf
Al 26.98 Al.upf
Br 79.90 Br.upf
ATOMIC_POSITIONS crystal
Ca 0.500 0.250 0.250
Al 0.500 0.750 0.750
Br 0.000 0.025 0.025
Br 0.000 0.475 0.475
CELL_PARAMETERS angstrom
4.177 0.000 0.000
0.000 5.736 -0.146
0.000 1.181 5.626
! Energy relative to the lowest polymorph listed for this composition ... 166.5 meV per atom
! Crystal system ... monoclinic
! ΔE_f (raw) ... -803.9 meV/atom
! Space-group type ... P2/m

# 5
! Ca3AlBr (PBE, relaxed); values from VASP
&SYSTEM
  ibrav = 0, nat = 5, ntyp = 3
/
ATOMIC_SPECIES
Ca 40.08 Ca.upf
Al 26.98 Al.upf
Br 79.90 Br.upf
ATOMIC_POSITIONS crystal
Ca 0.000 0.500 0.000
Ca 0.000 0.000 0.500
Ca 0.500 0.000 0.000
Al 0.000 0.000 0.000
Br 0.500 0.500 0.500
CELL_PARAMETERS angstrom
-2.814 5.016 -1.278
-2.250 0.124 5.444
4.662 3.088 1.857
! Energy relative to the lowest polymorph listed for this composition ... 0.0 meV per atom
! Crystal system ... cubic
! ΔE_f (raw) ... -301.1 meV/atom
! Space-group type ... Pm-3m

# 6
! CaAl2Br (PBE, relaxed); values from VASP
&SYSTEM
  ibrav = 0, nat = 4, ntyp = 3
/
ATOMIC_SPECIES
Ca 40.08 Ca.upf
Al 26.98 Al.upf
Br 79.90 Br.upf
ATOMIC_POSITIONS crystal
Ca 0.000 0.500 0.500
Al 0.000 0.000 0.000
Al 0.500 0.500 0.000
Br 0.500 0.000 0.500
CELL_PARAMETERS angstrom
5.057 0.000 0.000
0.000 5.057 0.000
0.000 0.000 3.927
! Energy relative to the lowest polymorph listed for this composition ... 437.8 meV per atom
! Crystal system ... tetragonal
! ΔE_f (raw) ... -36.1 meV/atom
! Space-group type ... P4/mmm

# 7
! CaAlBr5 (PBE, relaxed); values from VASP
&SYSTEM
  ibrav = 0, nat = 14, ntyp = 3
/
ATOMIC_SPECIES
Ca 40.08 Ca.upf
Al 26.98 Al.upf
Br 79.90 Br.upf
ATOMIC_POSITIONS crystal
Ca 0.000 0.000 0.000
Ca 0.000 0.000 0.500
Al 0.394 0.606 0.250
Al 0.606 0.394 0.750
Br 0.293 0.736 0.056
Br 0.345 0.277 0.336
Br 0.912 0.088 0.250
Br 0.264 0.707 0.444
Br 0.736 0.293 0.556
Br 0.723 0.655 0.164
Br 0.277 0.345 0.836
Br 0.088 0.912 0.750
Br 0.655 0.723 0.664
Br 0.707 0.264 0.944
CELL_PARAMETERS angstrom
5.294 5.459 -0.081
-5.294 5.459 -0.081
0.000 5.231 9.163
! Crystal system ... monoclinic
! ΔE_f (raw) ... -1466.8 meV/atom
! Space-group type ... C2/c

# 8
! Ca2AlBr (PBE, relaxed); values from VASP
&SYSTEM
  ibrav = 0, nat = 8, ntyp = 3
/
ATOMIC_SPECIES
Ca 40.08 Ca.upf
Al 26.98 Al.upf
Br 79.90 Br.upf
ATOMIC_POSITIONS crystal
Ca 0.639 0.125 0.250
Ca 0.111 0.625 0.250
Ca 0.375 0.361 0.750
Ca 0.875 0.889 0.750
Al 0.500 0.500 0.000
Al 0.250 0.750 0.500
Br 0.000 0.000 0.000
Br 0.750 0.250 0.500
CELL_PARAMETERS angstrom
-5.163 0.511 6.109
-2.483 -7.477 -1.473
-0.974 -4.927 4.847
! Energy relative to the lowest polymorph listed for this composition ... 320.4 meV per atom
! Crystal system ... tetragonal
! ΔE_f (raw) ... -474.0 meV/atom
! Space-group type ... I-42d

# 9
! CaAlBr2 (PBE, relaxed); values from VASP
&SYSTEM
  ibrav = 0, nat = 4, ntyp = 3
/
ATOMIC_SPECIES
Ca 40.08 Ca.upf
Al 26.98 Al.upf
Br 79.90 Br.upf
ATOMIC_POSITIONS crystal
Ca 0.250 0.750 0.500
Al 0.750 0.250 0.500
Br 0.108 0.108 0.000
Br 0.392 0.392 0.000
CELL_PARAMETERS angstrom
7.585 0.048 -0.009
4.686 5.964 0.009
-5.923 -3.438 3.259
! Energy relative to the lowest polymorph listed for this composition ... 79.9 meV per atom
! Crystal system ... orthorhombic
! ΔE_f (raw) ... -890.5 meV/atom
! Space-group type ... Immm

# 10
! Ca2Al2Br (PBE, relaxed); values from VASP
&SYSTEM
  ibrav = 0, nat = 10, ntyp = 3
/
ATOMIC_SPECIES
Ca 40.08 Ca.upf
Al 26.98 Al.upf
Br 79.90 Br.upf
ATOMIC_POSITIONS crystal
Ca 0.194 0.694 0.500
Ca 0.694 0.806 0.500
Ca 0.806 0.306 0.500
Ca 0.306 0.194 0.500
Al 0.401 0.901 0.000
Al 0.901 0.599 0.000
Al 0.599 0.099 0.000
Al 0.099 0.401 0.000
Br 0.000 0.000 0.000
Br 0.500 0.500 0.000
CELL_PARAMETERS angstrom
8.908 0.000 0.000
0.000 8.908 0.000
0.000 0.000 3.599
! Crystal system ... tetragonal
! ΔE_f (raw) ... -336.4 meV/atom
! Space-group type ... P4/mbm

# 11
! Ca2AlBr (PBE, relaxed); values from VASP
&SYSTEM
  ibrav = 0, nat = 4, ntyp = 3
/
ATOMIC_SPECIES
Ca 40.08 Ca.upf
Al 26.98 Al.upf
Br 79.90 Br.upf
ATOMIC_POSITIONS crystal
Ca 0.000 0.000 0.000
Ca 0.250 0.250 0.250
Al 0.500 0.500 0.500
Br 0.750 0.750 0.750
CELL_PARAMETERS angstrom
-1.865 4.112 3.222
-4.381 3.005 -1.595
-4.843 -0.533 2.652
! Energy relative to the lowest polymorph listed for this composition ... 775.4 meV per atom
! Crystal system ... cubic
! ΔE_f (raw) ... -18.9 meV/atom
! Space-group type ... F-43m

# 12
! CaAlBr2 (PBE, relaxed); values from VASP
&SYSTEM
  ibrav = 0, nat = 4, ntyp = 3
/
ATOMIC_SPECIES
Ca 40.08 Ca.upf
Al 26.98 Al.upf
Br 79.90 Br.upf
ATOMIC_POSITIONS crystal
Ca 0.526 0.526 0.473
Al 0.815 0.815 0.685
Br 0.971 0.971 0.029
Br 0.188 0.188 0.313
CELL_PARAMETERS angstrom
-0.295 -3.895 6.461
3.240 -3.050 6.099
-0.371 3.121 3.660
! Energy relative to the lowest polymorph listed for this composition ... 117.4 meV per atom
! Crystal system ... monoclinic
! ΔE_f (raw) ... -853.0 meV/atom
! Space-group type ... Cm

# 13
! Ca2AlBr (PBE, relaxed); values from VASP
&SYSTEM
  ibrav = 0, nat = 4, ntyp = 3
/
ATOMIC_SPECIES
Ca 40.08 Ca.upf
Al 26.98 Al.upf
Br 79.90 Br.upf
ATOMIC_POSITIONS crystal
Ca 0.002 0.002 0.993
Ca 0.498 0.498 0.507
Al 0.750 0.750 0.750
Br 0.250 0.250 0.250
CELL_PARAMETERS angstrom
4.041 -0.015 0.004
2.036 3.491 0.004
2.021 1.156 8.358
! Energy relative to the lowest polymorph listed for this composition ... 44.3 meV per atom
! Crystal system ... trigonal
! ΔE_f (raw) ... -750.1 meV/atom
! Space-group type ... R-3m

# 14
! CaAl2Br (PBE, relaxed); values from VASP
&SYSTEM
  ibrav = 0, nat = 4, ntyp = 3
/
ATOMIC_SPECIES
Ca 40.08 Ca.upf
Al 26.98 Al.upf
Br 79.90 Br.upf
ATOMIC_POSITIONS crystal
Ca 0.250 0.250 0.250
Al 0.992 0.992 0.016
Al 0.508 0.508 0.484
Br 0.750 0.750 0.750
CELL_PARAMETERS angstrom
-3.892 -5.118 -1.640
-0.590 -6.216 -2.244
0.179 -1.738 4.139
! Energy relative to the lowest polymorph listed for this composition ... 106.4 meV per atom
! Crystal system ... monoclinic
! ΔE_f (raw) ... -367.5 meV/atom
! Space-group type ... C2/m

# 15
! CaAlBr2 (PBE, relaxed); values from VASP
&SYSTEM
  ibrav = 0, nat = 4, ntyp = 3
/
ATOMIC_SPECIES
Ca 40.08 Ca.upf
Al 26.98 Al.upf
Br 79.90 Br.upf
ATOMIC_POSITIONS crystal
Ca 0.000 0.000 0.507
Al 0.500 0.500 0.747
Br 0.000 0.000 0.918
Br 0.500 0.500 0.327
CELL_PARAMETERS angstrom
3.663 -0.010 0.000
-0.942 3.540 0.000
0.000 0.000 9.385
! Energy relative to the lowest polymorph listed for this composition ... 136.5 meV per atom
! Crystal system ... orthorhombic
! ΔE_f (raw) ... -833.9 meV/atom
! Space-group type ... Cmm2

# 16
! CaAl2Br (PBE, relaxed); values from VASP
&SYSTEM
  ibrav = 0, nat = 4, ntyp = 3
/
ATOMIC_SPECIES
Ca 40.08 Ca.upf
Al 26.98 Al.upf
Br 79.90 Br.upf
ATOMIC_POSITIONS crystal
Ca 0.000 0.500 0.500
Al 0.000 0.000 0.000
Al 0.500 0.500 0.000
Br 0.500 0.000 0.500
CELL_PARAMETERS angstrom
-1.705 3.017 0.810
-3.440 -2.340 1.474
2.614 -0.112 5.922
! Energy relative to the lowest polymorph listed for this composition ... 111.6 meV per atom
! Crystal system ... orthorhombic
! ΔE_f (raw) ... -362.3 meV/atom
! Space-group type ... Pmmm

# 17
! CaAl2Br (PBE, relaxed); values from VASP
&SYSTEM
  ibrav = 0, nat = 4, ntyp = 3
/
ATOMIC_SPECIES
Ca 40.08 Ca.upf
Al 26.98 Al.upf
Br 79.90 Br.upf
ATOMIC_POSITIONS crystal
Ca 0.500 0.500 0.750
Al 0.000 0.000 0.009
Al 0.000 0.000 0.491
Br 0.500 0.500 0.250
CELL_PARAMETERS angstrom
3.453 0.000 0.000
0.000 3.453 0.000
0.000 0.000 8.182
! Energy relative to the lowest polymorph listed for this composition ... 549.5 meV per atom
! Crystal system ... tetragonal
! ΔE_f (raw) ... 75.7 meV/atom
! Space-group type ... P4/mmm

# 18
! CaAlBr2 (PBE, relaxed); values from VASP
&SYSTEM
  ibrav = 0, nat = 4, ntyp = 3
/
ATOMIC_SPECIES
Ca 40.08 Ca.upf
Al 26.98 Al.upf
Br 79.90 Br.upf
ATOMIC_POSITIONS crystal
Ca 0.000 0.000 0.000
Al 0.500 0.500 0.500
Br 0.900 0.900 0.900
Br 0.100 0.100 0.100
CELL_PARAMETERS angstrom
2.540 0.000 9.221
-1.270 2.199 9.221
-1.270 -2.199 9.221
! Energy relative to the lowest polymorph listed for this composition ... 374.6 meV per atom
! Crystal system ... trigonal
! ΔE_f (raw) ... -595.8 meV/atom
! Space-group type ... R-3m

# 19
! Ca2AlBr (PBE, relaxed); values from VASP
&SYSTEM
  ibrav = 0, nat = 4, ntyp = 3
/
ATOMIC_SPECIES
Ca 40.08 Ca.upf
Al 26.98 Al.upf
Br 79.90 Br.upf
ATOMIC_POSITIONS crystal
Ca 0.019 0.019 0.000
Ca 0.481 0.481 0.000
Al 0.750 0.250 0.500
Br 0.250 0.750 0.500
CELL_PARAMETERS angstrom
-1.686 3.793 4.189
-1.100 -3.858 4.322
4.619 1.813 -3.186
! Energy relative to the lowest polymorph listed for this composition ... 302.7 meV per atom
! Crystal system ... orthorhombic
! ΔE_f (raw) ... -491.7 meV/atom
! Space-group type ... Immm

# 20
! CaAlBr3 (PBE, relaxed); values from VASP
&SYSTEM
  ibrav = 0, nat = 5, ntyp = 3
/
ATOMIC_SPECIES
Ca 40.08 Ca.upf
Al 26.98 Al.upf
Br 79.90 Br.upf
ATOMIC_POSITIONS crystal
Ca 0.000 0.000 0.000
Al 0.500 0.500 0.500
Br 0.000 0.500 0.000
Br 0.000 0.000 0.500
Br 0.500 0.000 0.000
CELL_PARAMETERS angstrom
5.658 0.000 0.000
0.000 5.658 0.000
0.000 0.000 5.658
! Crystal system ... cubic
! ΔE_f (raw) ... -1117.6 meV/atom
! Space-group type ... Pm-3m

# 21
! CaAlBr2 (PBE, relaxed); values from VASP
&SYSTEM
  ibrav = 0, nat = 4, ntyp = 3
/
ATOMIC_SPECIES
Ca 40.08 Ca.upf
Al 26.98 Al.upf
Br 79.90 Br.upf
ATOMIC_POSITIONS crystal
Ca 0.500 0.000 0.500
Al 0.000 0.500 0.500
Br 0.000 0.000 0.000
Br 0.500 0.500 0.000
CELL_PARAMETERS angstrom
4.973 0.012 0.000
-0.019 4.973 0.000
0.000 0.000 4.335
! Energy relative to the lowest polymorph listed for this composition ... 275.8 meV per atom
! Crystal system ... orthorhombic
! ΔE_f (raw) ... -694.6 meV/atom
! Space-group type ... Cmmm

# 22
! Ca2AlBr (PBE, relaxed); values from VASP
&SYSTEM
  ibrav = 0, nat = 4, ntyp = 3
/
ATOMIC_SPECIES
Ca 40.08 Ca.upf
Al 26.98 Al.upf
Br 79.90 Br.upf
ATOMIC_POSITIONS crystal
Ca 0.000 0.000 0.018
Ca 0.000 0.000 0.482
Al 0.500 0.500 0.250
Br 0.500 0.500 0.750
CELL_PARAMETERS angstrom
3.608 0.007 0.000
-0.008 3.608 0.000
0.000 0.000 8.450
! Energy relative to the lowest polymorph listed for this composition ... 54.4 meV per atom
! Crystal system ... tetragonal
! ΔE_f (raw) ... -740.0 meV/atom
! Space-group type ... P4/mmm

# 23
! CaAlBrCl4 (PBE, relaxed); values from VASP
&SYSTEM
  ibrav = 0, nat = 14, ntyp = 4
/
ATOMIC_SPECIES
Ca 40.08 Ca.upf
Al 26.98 Al.upf
Br 79.90 Br.upf
Cl 35.45 Cl.upf
ATOMIC_POSITIONS crystal
Ca 0.195 0.195 0.966
Ca 0.805 0.805 0.034
Al 0.629 0.629 0.760
Al 0.371 0.371 0.240
Br 0.987 0.987 0.192
Br 0.013 0.013 0.808
Cl 0.254 0.254 0.433
Cl 0.746 0.746 0.567
Cl 0.159 0.499 0.115
Cl 0.577 0.577 0.242
Cl 0.501 0.841 0.885
Cl 0.499 0.159 0.115
Cl 0.423 0.423 0.758
Cl 0.841 0.501 0.885
CELL_PARAMETERS angstrom
7.138 -0.970 0.042
1.449 7.056 0.042
1.825 1.294 10.030
! Crystal system ... monoclinic
! ΔE_f (raw) ... -1775.2 meV/atom
! Space-group type ... C2/m

# 24
! Ca2AlH10BrO8 (PBE, relaxed); values from VASP
&SYSTEM
  ibrav = 0, nat = 22, ntyp = 5
/
ATOMIC_SPECIES
Ca 40.08 Ca.upf
Al 26.98 Al.upf
H 1.01 H.upf
Br 79.90 Br.upf
O 16.00 O.upf
ATOMIC_POSITIONS crystal
Ca 0.627 0.322 0.931
Ca 0.373 0.678 0.069
Al 0.000 0.000 0.000
H 0.529 0.843 0.772
H 0.076 0.295 0.773
H 0.000 0.752 0.774
H 0.471 0.157 0.228
H 0.924 0.705 0.227
H 0.000 0.248 0.226
H 0.303 0.304 0.579
H 0.577 0.303 0.578
H 0.697 0.696 0.421
H 0.423 0.697 0.422
Br 0.000 0.500 0.500
O 0.622 0.925 0.881
O 0.181 0.284 0.881
O 0.984 0.727 0.880
O 0.378 0.075 0.119
O 0.819 0.716 0.119
O 0.016 0.273 0.120
O 0.443 0.252 0.637
O 0.557 0.748 0.363
CELL_PARAMETERS angstrom
5.770 -0.008 -0.006
-2.885 5.062 0.209
-2.852 -1.249 8.357
! Uncorrected energy ... -5.41 eV/atom
! Crystal system ... triclinic
! Space-group type ... P-1

# 25
! Ca2AlH10BrO8 (PBE, relaxed); values from VASP
&SYSTEM
  ibrav = 0, nat = 44, ntyp = 5
/
ATOMIC_SPECIES
Ca 40.08 Ca.upf
Al 26.98 Al.upf
H 1.01 H.upf
Br 79.90 Br.upf
O 16.00 O.upf
ATOMIC_POSITIONS crystal
Ca 0.717 0.928 0.402
Ca 0.211 0.927 0.901
Ca 0.283 0.072 0.598
Ca 0.789 0.073 0.099
Al 0.256 0.003 0.251
Al 0.744 0.997 0.749
H 0.586 0.573 0.239
H 0.691 0.573 0.383
H 0.599 0.236 0.410
H 0.896 0.229 0.628
H 0.090 0.233 0.361
H 0.877 0.575 0.887
H 0.980 0.571 0.742
H 0.910 0.767 0.639
H 0.104 0.771 0.372
H 0.401 0.764 0.590
H 0.094 0.229 0.898
H 0.415 0.234 0.128
H 0.586 0.229 0.863
H 0.309 0.427 0.617
H 0.414 0.427 0.761
H 0.414 0.771 0.137
H 0.585 0.766 0.872
H 0.906 0.771 0.102
H 0.020 0.429 0.258
H 0.123 0.425 0.113
Br 0.000 0.500 0.500
Br 0.500 0.500 0.000
O 0.593 0.622 0.338
O 0.494 0.125 0.403
O 0.903 0.120 0.621
O 0.033 0.122 0.304
O 0.021 0.623 0.840
O 0.967 0.878 0.696
O 0.097 0.880 0.379
O 0.506 0.875 0.597
O 0.985 0.121 0.900
O 0.414 0.124 0.122
O 0.526 0.121 0.800
O 0.407 0.378 0.662
O 0.474 0.879 0.200
O 0.586 0.876 0.878
O 0.015 0.879 0.100
O 0.979 0.377 0.160
CELL_PARAMETERS angstrom
1.846 -4.569 -3.075
-8.796 0.875 -1.204
3.924 6.229 -6.882
! Uncorrected energy ... -5.41 eV/atom
! Crystal system ... triclinic
! Space-group type ... P-1